This record from Alexandria via LeMat-Bulk describes crystalline Ba3FeSb2O9 at its relaxed geometry. The functional is PBE with a Hubbard U.

Lattice parameters (Å, degrees): 5.880 5.880 7.213 90.00 90.00 120.00
Fractional positions:
1 Ba 0.000 0.000 0.000
2 Ba 0.333 0.667 0.663
3 Ba 0.667 0.333 0.337
4 Fe 0.000 0.000 0.500
5 Sb 0.333 0.667 0.175
6 Sb 0.667 0.333 0.825
7 O 0.000 0.500 0.000
8 O 0.167 0.334 0.332
9 O 0.167 0.833 0.332
10 O 0.334 0.167 0.668
11 O 0.500 0.000 0.000
12 O 0.500 0.500 0.000
13 O 0.666 0.833 0.332
14 O 0.833 0.167 0.668
15 O 0.833 0.666 0.668

Values from the calculation:
density = 6578 kg/m³
size of the total moment = 4.56 μB/cell
SG = P-3m1
uncorrected energy = -6.35 eV per atom